The following is a DFT calculation (SCAN) of a crystal of RbSiSnH2 relaxed with PBEsol.

a b c (Å): 4.4897 4.4897 5.0803
angles (deg): 90.00 90.00 90.00
Last column: nearest neighbours and their distance in Å.
Positions (direct):
H  0.0000  0.5000  0.0000  2 Si 2.24
H  0.5000  0.0000  0.0000  2 Si 2.24
Si  0.0000  0.0000  0.0000  4 H 2.24
Sn  0.0000  0.0000  0.5000  2 Si 2.54
Rb  0.5000  0.5000  0.5000  4 Sn 3.17, 8 H 3.39

Computed properties:
Density of states at the Fermi level ... 0.64 states/eV per atom
Symmetry ... P4/mmm
Total energy ... -13.9945 eV per atom